# PuSnPd PBE relaxed
# ΔH_f (0 K) = -1.22 eV per formula unit
# D(E_F) = 2.9764 states/eV/atom
data_PuSnPd
_chemical_formula_sum 'Pu2 Sn2 Pd2'
_symmetry_space_group_name_H-M 'I 4 m m'
_symmetry_Int_Tables_number 107
_symmetry_space_group_name_Hall 'I 4 -2'
_cell_length_a 3.332
_cell_length_b 3.332
_cell_length_c 11.843
_cell_angle_alpha 90.00
_cell_angle_beta 90.00
_cell_angle_gamma 90.00
loop_
_atom_site_label
_atom_site_type_symbol
_atom_site_fract_x
_atom_site_fract_y
_atom_site_fract_z
Pu1 Pu 0.000 0.000 0.000
Sn1 Sn 0.000 0.000 0.697
Pd1 Pd 0.000 0.000 0.325